Entry 1:
Al4GaAg: relaxed, GGA-PBE.

V: 17.02 Å³ per atom
VASP energy: -3.46 eV/atom
ρ: 4.641 Mg/m³

Geometry as CIF:
```
data_Al4GaAg
_chemical_formula_sum 'Al8 Ga2 Ag2'
_space_group_name_H-M_alt 'P 1 21/m 1'
_space_group_IT_number 11
_cell_length_a 4.816
_cell_length_b 5.939
_cell_length_c 7.145
_cell_angle_alpha 90.00
_cell_angle_beta 91.23
_cell_angle_gamma 90.00
loop_
_space_group_symop_operation_xyz
'x,y,z'
'-x,-y,-z'
'-x,y+1/2,-z'
'x,-y+1/2,z'
loop_
_atom_site_label
_atom_site_fract_x
_atom_site_fract_y
_atom_site_fract_z
Al1 0.001 0.250 0.499
Al2 0.170 0.501 0.170
Al3 0.322 0.750 0.837
Ga1 0.324 0.250 0.845
Ag1 0.500 0.000 0.500
```

=====

Entry 2:
AlGaAg5: relaxed, GGA-PBE.

V: 17.85 Å³ per atom
VASP energy: -3.01 eV/atom
ρ: 8.451 Mg/m³

Geometry as CIF:
```
data_AlGaAg5
_chemical_formula_sum 'Al4 Ga4 Ag20'
_space_group_name_H-M_alt 'C m c m'
_space_group_IT_number 63
_space_group_name_Hall '-C 2c 2'
_cell_length_a 7.539
_cell_length_b 6.121
_cell_length_c 10.832
_cell_angle_alpha 90.00
_cell_angle_beta 90.00
_cell_angle_gamma 90.00
loop_
_atom_site_label
_atom_site_fract_x
_atom_site_fract_y
_atom_site_fract_z
Al1 0.000 0.000 0.000
Ga1 0.000 0.360 0.250
Ag1 0.000 0.055 0.750
Ag2 0.198 0.363 0.610
```

=====

Entry 3:
Al6GaAg8: relaxed, GGA-PBE.

V: 18.38 Å³ per atom
VASP energy: -3.21 eV/atom
ρ: 6.594 Mg/m³

Geometry as CIF:
```
data_Al6GaAg8
_chemical_formula_sum 'Al6 Ga1 Ag8'
_space_group_name_H-M_alt 'P -3'
_space_group_IT_number 147
_cell_length_a 7.6361
_cell_length_b 7.6361
_cell_length_c 5.4586
_cell_angle_alpha 90.00
_cell_angle_beta 90.00
_cell_angle_gamma 120.00
loop_
_space_group_symop_operation_xyz
'x,y,z'
'-x,-y,-z'
'-y,x-y,z'
'y,-x+y,-z'
'-x+y,-x,z'
'x-y,x,-z'
loop_
_atom_site_label
_atom_site_fract_x
_atom_site_fract_y
_atom_site_fract_z
Al1 0.0097 0.3370 0.1472
Ga1 0.0000 0.0000 0.0000
Ag1 0.0075 0.3355 0.6387
Ag2 0.3333 0.6667 0.9647
```

=====

Entry 4:
Al6GaAg12: relaxed, GGA-PBE.

V: 17.05 Å³ per atom
VASP energy: -3.17 eV/atom
ρ: 7.821 Mg/m³

Geometry as CIF:
```
data_Al6GaAg12
_chemical_formula_sum 'Al18 Ga3 Ag36'
_space_group_name_H-M_alt 'R -3'
_space_group_IT_number 148
_space_group_name_Hall '-R 3'
_cell_length_a 12.6021
_cell_length_b 12.6021
_cell_length_c 7.0675
_cell_angle_alpha 90.00
_cell_angle_beta 90.00
_cell_angle_gamma 120.00
loop_
_atom_site_label
_atom_site_fract_x
_atom_site_fract_y
_atom_site_fract_z
Al1 0.0322 0.2774 0.3299
Ga1 0.0000 0.0000 0.0000
Ag1 0.0105 0.1391 0.6657
Ag2 0.0650 0.5618 0.6717
```